# 1
Compound: Pm2DyHgN
Source: Alexandria
Functional: PBE
Structure: relaxed Values from VASP.

The structure in Quantum ESPRESSO input format:
```
&SYSTEM
  ibrav = 0, nat = 5, ntyp = 4
/
ATOMIC_SPECIES
Pm 145.00 Pm.upf
Dy 162.50 Dy.upf
Hg 200.59 Hg.upf
N 14.01 N.upf
ATOMIC_POSITIONS crystal
Pm 0.000 0.500 0.000
Pm 0.500 0.000 0.000
Dy 0.000 0.000 0.500
Hg 0.500 0.500 0.500
N 0.000 0.000 0.000
CELL_PARAMETERS angstrom
4.989 0.000 0.000
0.000 4.989 0.000
0.000 0.000 4.781
```

Calculated values
Space group   P4/mmm (123)
Formation energy from raw total energies   -0.835 eV per atom
V   23.80 Å³ per atom
DOS(E_F)   4.39 states/eV per cell
Theoretical density   9.31 g/cm³
Total magnetization   0.0 μB per formula unit
Energy   -0.3955 Ry per atom


# 2
Compound: KCoGe
Source: Alexandria
Functional: PBE
Structure: relaxed Values from VASP.

The structure in Quantum ESPRESSO input format:
```
&SYSTEM
  ibrav = 0, nat = 6, ntyp = 3
/
ATOMIC_SPECIES
K 39.10 K.upf
Co 58.93 Co.upf
Ge 72.64 Ge.upf
ATOMIC_POSITIONS crystal
K 0.000 0.000 0.000
K 0.486 0.274 0.628
Co 0.360 0.196 0.325
Co 0.750 0.894 0.386
Ge 0.066 0.554 0.414
Ge 0.396 0.708 0.206
CELL_PARAMETERS angstrom
4.096 0.000 0.000
-2.047 3.549 0.000
-0.914 -0.765 11.468
```

Calculated values
Space group   P1 (1)
V   27.78 Å³ per atom
DOS(E_F)   5.51 states/eV per cell
Relative energy among the computed polymorphs   0.156 eV per atom
Theoretical density   3.40 g/cm³
Total magnetization   0.8 μB per formula unit
Energy   -0.3103 Ry per atom


# 3
Compound: LiGdAgAu
Source: Alexandria
Functional: PBE
Structure: relaxed Values from VASP.

The structure in Quantum ESPRESSO input format:
```
&SYSTEM
  ibrav = 0, nat = 16, ntyp = 4
/
ATOMIC_SPECIES
Li 6.94 Li.upf
Gd 157.25 Gd.upf
Ag 107.87 Ag.upf
Au 196.97 Au.upf
ATOMIC_POSITIONS crystal
Li 0.000 0.000 0.000
Li 0.000 0.500 0.500
Li 0.500 0.000 0.500
Li 0.500 0.500 0.000
Gd 0.000 0.000 0.500
Gd 0.000 0.500 0.000
Gd 0.500 0.000 0.000
Gd 0.500 0.500 0.500
Ag 0.250 0.250 0.750
Ag 0.250 0.750 0.250
Ag 0.750 0.250 0.250
Ag 0.750 0.750 0.750
Au 0.250 0.250 0.250
Au 0.250 0.750 0.750
Au 0.750 0.250 0.750
Au 0.750 0.750 0.250
CELL_PARAMETERS angstrom
6.959 0.000 0.000
0.000 6.959 0.000
0.000 0.000 6.959
```

Calculated values
Space group   F-43m (216)
V   21.06 Å³ per atom
DOS(E_F)   12.07 states/eV per cell
Theoretical density   9.25 g/cm³
Total magnetization   7.3 μB per formula unit
Energy   -0.4397 Ry per atom


Q: Which formula does entry 2 have?
A: KCoGe


Q: Among the records above, which one has the highest V?
A: KCoGe


Q: Among the records above, which one has the highest DOS(E_F)?
A: LiGdAgAu


Q: Among the records above, which one has the lowest energy?
A: LiGdAgAu